## Ho8SiTe3P3 (GGA-PBE)

Data for a relaxed structure of Ho8SiTe3P3.

Density of states at the Fermi level: 7.3 states/eV per cell
ΔE_f (raw): -19.38 eV/f.u.
Space-group type: No. 166

abc: 8.1713 8.1711 8.4022
angles: 119.10 90.00 120.00
Element x y z (fractional)
Ho 0.2637 0.5273 0.2911
Ho 0.7363 0.4727 0.7089
Ho 0.7582 0.5164 0.2827
Ho 0.2418 0.4836 0.7173
Ho 0.7582 0.0244 0.2828
Ho 0.2418 0.9756 0.7172
Ho 0.2662 0.0244 0.2828
Ho 0.7338 0.9756 0.7172
Si 0.0000 0.0000 0.5000
Te 0.0000 0.0000 0.0000
Te 0.0000 0.5000 0.0000
Te 0.5000 0.5000 0.0000
P 0.5000 0.0000 0.5000
P 0.5000 0.5000 0.5000
P 0.0000 0.5000 0.5000

***

## Rb2VInCl6 (GGA-PBE)

Data for a relaxed structure of Rb2VInCl6.

Density of states at the Fermi level: 10.7 states/eV per cell
ΔE_f (raw): -14.54 eV/f.u.
Space-group type: No. 2

abc: 7.7469 7.7480 7.4530
angles: 58.55 58.58 59.92
Element x y z (fractional)
Rb 0.5599 0.5592 0.3222
Rb 0.0724 0.0731 0.7808
V 0.3162 0.3162 0.0515
In 0.8162 0.8162 0.5513
Cl 0.5229 0.1672 0.2824
Cl 0.1662 0.0280 0.2859
Cl 0.0285 0.5231 0.2828
Cl 0.4662 0.6043 0.8172
Cl 0.6038 0.1092 0.8203
Cl 0.1094 0.4652 0.8207

***

## CoRu4 (GGA-PBE)

Data for a relaxed structure of CoRu4.

Density of states at the Fermi level: 7.3 states/eV per cell
Calculated formation energy: 0.75 eV per atom
Space-group type: No. 139

abc: 6.4499 6.4499 6.4499
angles: 147.42 147.42 46.75
Element x y z (fractional)
Co 0.0000 0.0000 0.0000
Ru 0.2500 0.7500 0.5000
Ru 0.5982 0.5982 0.0000
Ru 0.4018 0.4018 0.0000
Ru 0.7500 0.2500 0.5000

***

## Ce7GaGe3 (GGA-PBE)

Data for a relaxed structure of Ce7GaGe3.

Density of states at the Fermi level: 31.4 states/eV per cell
Calculated formation energy: -0.44 eV per atom
Space-group type: No. 71

abc: 5.6905 7.7424 7.7424
angles: 93.62 111.59 111.59
Element x y z (fractional)
Ce 0.1580 0.1577 0.1577
Ce 0.3459 0.0864 0.6056
Ce 0.6541 0.3944 0.9136
Ce 0.3459 0.6056 0.0864
Ce 0.0000 0.5000 0.5000
Ce 0.6541 0.9136 0.3944
Ce 0.8420 0.8423 0.8423
Ga 0.5000 0.5000 0.5000
Ge 0.0000 0.7625 0.2375
Ge 0.5000 0.0000 0.0000
Ge 0.0000 0.2375 0.7625

***

## MnBeSe2Br (GGA-PBE)

Data for a relaxed structure of MnBeSe2Br.

Density of states at the Fermi level: 6.3 states/eV per cell
ΔE_f (raw): 3.29 eV/f.u.
Space-group type: No. 123

abc: 4.5730 4.5730 5.2272
angles: 90.00 90.00 90.00
Element x y z (fractional)
Be 0.5000 0.5000 0.5000
Mn 0.0000 0.0000 0.0000
Se 0.0000 0.5000 0.0000
Se 0.5000 0.0000 0.0000
Br 0.0000 0.0000 0.5000

***

## PaTa2Pt (GGA-PBE)

Data for a relaxed structure of PaTa2Pt.

Density of states at the Fermi level: 4.5 states/eV per cell
Calculated formation energy: 0.23 eV per atom
Space-group type: No. 166

abc: 2.9569 2.9569 10.4254
angles: 81.85 81.85 60.00
Element x y z (fractional)
Pa 0.0000 0.0000 0.0000
Pt 0.5000 0.5000 0.5000
Ta 0.0933 0.0933 0.7200
Ta 0.9067 0.9067 0.2800